First-principles (GGA-PBE) data for a relaxed AuC3 crystal, as listed in the Alexandria database.

```
AuC3
1.0
4.251 0.000 0.000
0.000 4.251 0.000
0.000 0.000 4.251
Au C
1 3
direct
0.000 0.000 0.000
0.000 0.000 0.500
0.000 0.500 0.000
0.500 0.000 0.000
```

Magnetization ... 4.358 μB per formula unit
E ... -3.646 eV/atom

***

First-principles (GGA-PBE) data for a relaxed AuC3 crystal, as listed in the Alexandria database.

```
AuC3
1.0
3.165 0.000 0.000
0.000 3.165 0.000
0.000 0.000 4.386
Au C
1 3
direct
0.000 0.000 0.000
0.000 0.000 0.500
0.500 0.500 0.348
0.500 0.500 0.652
```

Magnetization ... 0.000 μB per formula unit
E ... -4.967 eV/atom

***

First-principles (GGA-PBE) data for a relaxed Au5C3 crystal, as listed in the Alexandria database.

```
Au5C3
1.0
3.849 -5.991 0.000
3.849 5.991 0.000
-3.813 0.000 5.962
Au C
10 6
direct
0.000 0.000 0.000
0.245 0.493 0.261
0.251 0.990 0.752
0.488 0.749 0.752
0.493 0.245 0.261
0.501 0.501 0.003
0.747 0.995 0.261
0.749 0.488 0.752
0.990 0.251 0.752
0.995 0.747 0.261
0.001 0.001 0.519
0.366 0.865 0.501
0.499 0.499 0.518
0.499 0.998 0.020
0.865 0.366 0.501
0.998 0.499 0.020
```

Magnetization ... 0.279 μB per formula unit
E ... -3.970 eV/atom

***

First-principles (GGA-PBE) data for a relaxed Au5C3 crystal, as listed in the Alexandria database.

```
Au5C3
1.0
2.943 0.000 0.000
0.000 2.943 0.000
0.000 0.000 13.043
Au C
5 3
direct
0.000 0.000 0.000
0.000 0.000 0.225
0.000 0.000 0.775
0.500 0.500 0.389
0.500 0.500 0.611
0.000 0.000 0.500
0.500 0.500 0.110
0.500 0.500 0.890
```

Magnetization ... 0.000 μB per formula unit
E ... -3.702 eV/atom

***

First-principles (GGA-PBE) data for a relaxed Au4C5 crystal, as listed in the Alexandria database.

```
Au4C5
1.0
-4.988 4.988 1.313
4.988 -4.988 1.313
4.988 4.988 -1.313
Au C
4 5
direct
0.000 0.225 0.225
0.000 0.775 0.775
0.225 0.000 0.225
0.775 0.000 0.775
0.000 0.000 0.000
0.227 0.227 0.453
0.227 0.773 0.000
0.773 0.227 0.000
0.773 0.773 0.547
```

Magnetization ... 0.269 μB per formula unit
E ... -5.307 eV/atom

***

First-principles (GGA-PBE) data for a relaxed Au4C3 crystal, as listed in the Alexandria database.

```
Au4C3
1.0
-1.518 1.518 11.356
1.518 -1.518 11.356
1.518 1.518 -11.356
Au C
4 3
direct
0.060 0.060 0.000
0.322 0.322 0.000
0.678 0.678 0.000
0.940 0.940 0.000
0.153 0.153 0.000
0.500 0.500 0.000
0.847 0.847 0.000
```

Magnetization ... 0.000 μB per formula unit
E ... -4.064 eV/atom

***

First-principles (GGA-PBE) data for a relaxed Au2C crystal, as listed in the Alexandria database.

```
Au2C
1.0
-1.459 1.459 10.671
1.459 -1.459 10.671
1.459 1.459 -10.671
Au C
4 2
direct
0.307 0.557 0.750
0.443 0.693 0.750
0.557 0.307 0.250
0.693 0.443 0.250
0.125 0.875 0.250
0.875 0.125 0.750
```

Magnetization ... 0.000 μB per formula unit
E ... -3.634 eV/atom

***

First-principles (GGA-PBE) data for a relaxed Au2C3 crystal, as listed in the Alexandria database.

```
Au2C3
1.0
1.307 0.755 13.402
-1.307 0.755 13.402
0.000 -1.509 13.402
Au C
2 3
direct
0.110 0.110 0.110
0.890 0.890 0.890
0.333 0.333 0.333
0.500 0.500 0.500
0.667 0.667 0.667
```

Magnetization ... 0.000 μB per formula unit
E ... -5.494 eV/atom

***

First-principles (GGA-PBE) data for a relaxed AuC crystal, as listed in the Alexandria database.

```
AuC
1.0
5.560 0.000 0.000
-2.780 4.815 0.000
0.000 0.000 3.092
Au C
3 3
direct
0.000 0.000 0.000
0.333 0.667 0.500
0.667 0.333 0.500
0.000 0.369 0.000
0.369 0.000 0.000
0.631 0.631 0.000
```

Magnetization ... 0.000 μB per formula unit
E ... -4.193 eV/atom

***

First-principles (GGA-PBE) data for a relaxed CaAuC3 crystal, as listed in the Alexandria database.

```
CaAuC3
1.0
4.233 0.000 0.000
0.000 4.233 0.000
0.000 0.000 4.233
Ca Au C
1 1 3
direct
0.000 0.000 0.000
0.500 0.500 0.500
0.000 0.500 0.500
0.500 0.000 0.500
0.500 0.500 0.000
```

Magnetization ... 0.000 μB per formula unit
E ... -4.251 eV/atom

***

First-principles (GGA-PBE) data for a relaxed CaAu2C2 crystal, as listed in the Alexandria database.

```
CaAu2C2
1.0
7.525 0.000 0.000
0.000 7.525 0.000
0.000 0.000 3.896
Ca Au C
2 4 4
direct
0.000 0.000 0.000
0.500 0.500 0.000
0.131 0.369 0.000
0.369 0.869 0.000
0.631 0.131 0.000
0.869 0.631 0.000
0.136 0.364 0.500
0.364 0.864 0.500
0.636 0.136 0.500
0.864 0.636 0.500
```

Magnetization ... 0.000 μB per formula unit
E ... -4.292 eV/atom

***

First-principles (GGA-PBE) data for a relaxed Ca3AuC crystal, as listed in the Alexandria database.

```
Ca3AuC
1.0
5.013 0.000 0.000
0.000 5.013 0.000
0.000 0.000 5.013
Ca Au C
3 1 1
direct
0.000 0.000 0.500
0.000 0.500 0.000
0.500 0.000 0.000
0.500 0.500 0.500
0.000 0.000 0.000
```

Magnetization ... 0.000 μB per formula unit
E ... -3.806 eV/atom

***

First-principles (GGA-PBE) data for a relaxed CaAu2C crystal, as listed in the Alexandria database.

```
CaAu2C
1.0
-2.694 2.694 6.146
2.694 -2.694 6.146
2.694 2.694 -6.146
Ca Au C
2 4 2
direct
0.000 0.000 0.000
0.750 0.250 0.500
0.279 0.625 0.154
0.375 0.529 0.654
0.471 0.125 0.846
0.875 0.721 0.346
0.250 0.750 0.500
0.500 0.500 0.000
```

Magnetization ... 0.000 μB per formula unit
E ... -4.133 eV/atom

***

First-principles (GGA-PBE) data for a relaxed CaAu2C2 crystal, as listed in the Alexandria database.

```
CaAu2C2
1.0
-2.086 2.086 4.443
2.086 -2.086 4.443
2.086 2.086 -4.443
Ca Au C
1 2 2
direct
0.000 0.000 0.000
0.335 0.335 0.000
0.665 0.665 0.000
0.250 0.750 0.500
0.750 0.250 0.500
```

Magnetization ... 0.000 μB per formula unit
E ... -4.484 eV/atom

***

First-principles (GGA-PBE) data for a relaxed CaAuC2 crystal, as listed in the Alexandria database.

```
CaAuC2
1.0
0.000 2.997 2.997
2.997 0.000 2.997
2.997 2.997 0.000
Ca Au C
1 1 2
direct
0.000 0.000 0.000
0.500 0.500 0.500
0.250 0.250 0.250
0.750 0.750 0.750
```

Magnetization ... 0.000 μB per formula unit
E ... -4.384 eV/atom

***

First-principles (GGA-PBE) data for a relaxed CaAuC2 crystal, as listed in the Alexandria database.

```
CaAuC2
1.0
-2.602 2.602 5.194
2.602 -2.602 5.194
2.602 2.602 -5.194
Ca Au C
2 2 4
direct
0.000 0.000 0.000
0.750 0.250 0.500
0.250 0.750 0.500
0.500 0.500 0.000
0.197 0.625 0.072
0.375 0.447 0.572
0.553 0.125 0.928
0.875 0.803 0.428
```

Magnetization ... 0.000 μB per formula unit
E ... -4.518 eV/atom

***

First-principles (GGA-PBE) data for a relaxed CaAuC3 crystal, as listed in the Alexandria database.

```
CaAuC3
1.0
4.413 0.000 0.000
0.000 4.413 0.000
0.000 0.000 4.413
Ca Au C
1 1 3
direct
0.000 0.000 0.000
0.500 0.500 0.500
0.000 0.000 0.500
0.000 0.500 0.000
0.500 0.000 0.000
```

Magnetization ... 0.000 μB per formula unit
E ... -3.143 eV/atom

***

First-principles (GGA-PBE) data for a relaxed CaCd2AuC crystal, as listed in the Alexandria database.

```
CaCd2AuC
1.0
6.362 0.000 0.000
0.000 6.362 0.000
0.000 0.000 5.471
Ca Cd Au C
1 2 1 1
direct
0.000 0.000 0.000
0.000 0.500 0.000
0.500 0.000 0.000
0.000 0.000 0.500
0.500 0.500 0.500
```

Magnetization ... 2.749 μB per formula unit
E ... -1.570 eV/atom

***

First-principles (GGA-PBE) data for a relaxed CaAu2CCl crystal, as listed in the Alexandria database.

```
CaAu2CCl
1.0
4.203 0.000 0.000
0.000 4.203 0.000
0.000 0.000 5.705
Ca Au C Cl
1 2 1 1
direct
0.000 0.000 0.000
0.000 0.500 0.500
0.500 0.000 0.500
0.000 0.000 0.500
0.500 0.500 0.000
```

Formation energy from raw total energies ... -0.244 eV per atom
Magnetization ... 0.000 μB per formula unit
E ... -4.170 eV/atom

***

First-principles (GGA-PBE) data for a relaxed Ca2AuCF crystal, as listed in the Alexandria database.

```
Ca2AuCF
1.0
5.002 0.000 0.000
0.000 5.002 0.000
0.000 0.000 4.157
Ca Au C F
2 1 1 1
direct
0.000 0.500 0.000
0.500 0.000 0.000
0.000 0.000 0.500
0.500 0.500 0.000
0.500 0.500 0.500
```

Formation energy from raw total energies ... -0.201 eV per atom
Magnetization ... 0.303 μB per formula unit
E ... -3.876 eV/atom

***

First-principles (GGA-PBE) data for a relaxed Ca2FeAuC crystal, as listed in the Alexandria database.

```
Ca2FeAuC
1.0
5.139 0.000 0.000
0.000 5.139 0.000
0.000 0.000 3.685
Ca Fe Au C
2 1 1 1
direct
0.000 0.500 0.000
0.500 0.000 0.000
0.000 0.000 0.500
0.500 0.500 0.500
0.000 0.000 0.000
```

Magnetization ... 1.319 μB per formula unit
E ... -5.168 eV/atom

***

First-principles (GGA-PBE) data for a relaxed CaAuC2I crystal, as listed in the Alexandria database.

```
CaAuC2I
1.0
4.173 0.000 0.000
0.000 4.173 0.000
0.000 0.000 6.330
Ca Au C I
1 1 2 1
direct
0.000 0.000 0.000
0.000 0.000 0.500
0.000 0.500 0.500
0.500 0.000 0.500
0.500 0.500 0.000
```

Formation energy from raw total energies ... 1.344 eV per atom
Magnetization ... 1.949 μB per formula unit
E ... -3.712 eV/atom

***

First-principles (GGA-PBE) data for a relaxed Ca2LaAuC crystal, as listed in the Alexandria database.

```
Ca2LaAuC
1.0
5.051 0.000 0.000
0.000 5.051 0.000
0.000 0.000 5.021
Ca La Au C
2 1 1 1
direct
0.000 0.500 0.000
0.500 0.000 0.000
0.000 0.000 0.500
0.500 0.500 0.500
0.000 0.000 0.000
```

Magnetization ... 0.007 μB per formula unit
E ... -4.464 eV/atom

***

First-principles (GGA-PBE) data for a relaxed Ca2NiAuC crystal, as listed in the Alexandria database.

```
Ca2NiAuC
1.0
5.144 0.000 0.000
0.000 5.144 0.000
0.000 0.000 3.631
Ca Ni Au C
2 1 1 1
direct
0.000 0.500 0.000
0.500 0.000 0.000
0.000 0.000 0.500
0.500 0.500 0.500
0.000 0.000 0.000
```

Magnetization ... 0.000 μB per formula unit
E ... -4.793 eV/atom

***

First-principles (GGA-PBE) data for a relaxed Rb2CaAuC crystal, as listed in the Alexandria database.

```
Rb2CaAuC
1.0
6.874 0.000 0.000
0.000 6.874 0.000
0.000 0.000 4.218
Rb Ca Au C
2 1 1 1
direct
0.000 0.500 0.000
0.500 0.000 0.000
0.000 0.000 0.000
0.500 0.500 0.500
0.000 0.000 0.500
```

Magnetization ... 0.000 μB per formula unit
E ... -2.377 eV/atom

***

First-principles (GGA-PBE) data for a relaxed Ca2RuAuC crystal, as listed in the Alexandria database.

```
Ca2RuAuC
1.0
5.107 0.000 0.000
0.000 5.107 0.000
0.000 0.000 3.865
Ca Ru Au C
2 1 1 1
direct
0.000 0.500 0.000
0.500 0.000 0.000
0.000 0.000 0.500
0.500 0.500 0.500
0.000 0.000 0.000
```

Magnetization ... 0.000 μB per formula unit
E ... -5.357 eV/atom

***

First-principles (GGA-PBE) data for a relaxed CaSc2AuC crystal, as listed in the Alexandria database.

```
CaSc2AuC
1.0
4.462 0.000 0.000
0.000 4.462 0.000
0.000 0.000 5.053
Ca Sc Au C
1 2 1 1
direct
0.000 0.000 0.000
0.000 0.500 0.500
0.500 0.000 0.500
0.500 0.500 0.000
0.000 0.000 0.500
```

Magnetization ... 0.000 μB per formula unit
E ... -5.860 eV/atom